A plane-wave DFT calculation with PBE was carried out for an optimized crystal structure of TmPuPd.

Output
ΔE_f (meV per atom): -268
VASP energy (eV per atom): -8.19
Energy relative to the lowest polymorph listed for this composition (meV/atom): 0.0

Cell and atoms, written as POSCAR:
```
TmPuPd
1.0
0.000 3.346 3.346
3.346 0.000 3.346
3.346 3.346 0.000
Tm Pu Pd
1 1 1
Cartesian
0.000 0.000 0.000
3.346 3.346 3.346
5.020 5.020 5.020
```

---

A plane-wave DFT calculation with PBE was carried out for an optimized crystal structure of PuUPd.

Output
ΔE_f (meV per atom): 83
VASP energy (eV per atom): -10.12
Energy relative to the lowest polymorph listed for this composition (meV/atom): 0.0

Cell and atoms, written as POSCAR:
```
PuUPd
1.0
0.000 3.231 3.231
3.231 0.000 3.231
3.231 3.231 0.000
Pu U Pd
1 1 1
Cartesian
0.000 0.000 0.000
4.847 4.847 4.847
3.231 3.231 3.231
```

---

A plane-wave DFT calculation with PBE was carried out for an optimized crystal structure of PuPdW.

Output
ΔE_f (meV per atom): 906
VASP energy (eV per atom): -9.85
Energy relative to the lowest polymorph listed for this composition (meV/atom): 289.5

Cell and atoms, written as POSCAR:
```
PuPdW
1.0
0.000 3.132 3.132
3.132 0.000 3.132
3.132 3.132 0.000
Pu Pd W
1 1 1
Cartesian
0.000 0.000 0.000
4.697 4.697 4.697
1.566 1.566 1.566
```

---

A plane-wave DFT calculation with PBE was carried out for an optimized crystal structure of PuPdW.

Output
ΔE_f (meV per atom): 616
VASP energy (eV per atom): -10.14
Energy relative to the lowest polymorph listed for this composition (meV/atom): 0.0

Cell and atoms, written as POSCAR:
```
PuPdW
1.0
0.000 3.153 3.153
3.153 0.000 3.153
3.153 3.153 0.000
Pu Pd W
1 1 1
Cartesian
0.000 0.000 0.000
3.153 3.153 3.153
1.577 1.577 1.577
```